(1)
TiBAs2Br, optimized geometry, DFT PBE-GGA; density = 5308 kg/m3; raw formation energy = 0.7104 eV per atom; uncorrected energy = -4.398 eV per atom; distance to the lowest polymorph of the same formula = 0 meV per atom
1.0
4.349 0.000 0.000
0.000 4.349 0.000
0.000 0.000 4.771
Ti B As Br
1 1 2 1
direct
0.000 0.000 0.000 Ti
0.500 0.500 0.500 B
0.000 0.500 0.500 As
0.500 0.000 0.500 As
0.500 0.500 0.000 Br

(2)
Pr4Pd2C, optimized geometry, DFT PBE-GGA; energy relative to the elements = 0.02 eV per atom; density = 2924 kg/m3; uncorrected energy = -5.511 eV per atom
1.0
-2.514 2.514 17.712
2.514 -2.514 17.712
2.514 2.514 -17.712
Pr Pd C
4 2 1
direct
0.000 0.500 0.500 Pr
0.069 0.069 0.000 Pr
0.500 0.000 0.500 Pr
0.931 0.931 0.000 Pr
0.445 0.445 0.000 Pd
0.555 0.555 0.000 Pd
0.000 0.000 0.000 C

(3)
AgHgPd2, optimized geometry, DFT PBE-GGA; energy relative to the elements = -0.13 eV per atom; density = 12521 kg/m3; uncorrected energy = -3.518 eV per atom; distance to the lowest polymorph of the same formula = 0 meV per atom
1.0
4.365 0.000 0.000
0.000 4.365 0.000
0.000 0.000 3.629
Ag Hg Pd
1 1 2
direct
0.000 0.000 0.000 Ag
0.500 0.500 0.000 Hg
0.000 0.500 0.500 Pd
0.500 0.000 0.500 Pd

(4)
Mg6Hg3Pb, optimized geometry, DFT PBE-GGA; energy relative to the elements = -0.16 eV per atom; density = 6982 kg/m3; uncorrected energy = -1.576 eV per atom
1.0
9.306 0.000 0.000
0.000 4.798 0.000
-2.506 0.000 10.171
Mg Hg Pb
12 6 2
direct
0.068 0.250 0.410 Mg
0.139 0.750 0.180 Mg
0.222 0.250 0.983 Mg
0.308 0.750 0.771 Mg
0.366 0.250 0.294 Mg
0.402 0.250 0.598 Mg
0.598 0.750 0.402 Mg
0.634 0.750 0.706 Mg
0.692 0.250 0.229 Mg
0.778 0.750 0.017 Mg
0.861 0.250 0.820 Mg
0.932 0.750 0.590 Mg
0.035 0.750 0.883 Hg
0.121 0.250 0.691 Hg
0.294 0.750 0.457 Hg
0.706 0.250 0.543 Hg
0.879 0.750 0.309 Hg
0.965 0.250 0.117 Hg
0.450 0.750 0.106 Pb
0.550 0.250 0.894 Pb

(5)
ZnCd4Hg4, optimized geometry, DFT PBE-GGA; energy relative to the elements = 0.07 eV per atom; density = 9905 kg/m3; uncorrected energy = -0.615 eV per atom
1.0
-5.966 5.966 1.551
5.966 -5.966 1.551
5.966 5.966 -1.551
Zn Cd Hg
1 4 4
direct
0.000 0.000 0.000 Zn
0.077 0.644 0.721 Cd
0.356 0.077 0.433 Cd
0.644 0.923 0.567 Cd
0.923 0.356 0.279 Cd
0.127 0.189 0.316 Hg
0.189 0.873 0.062 Hg
0.811 0.127 0.938 Hg
0.873 0.811 0.684 Hg

(6)
ScZnAg2, optimized geometry, DFT PBE-GGA; energy relative to the elements = -0.13 eV per atom; density = 7303 kg/m3; uncorrected energy = -3.454 eV per atom
1.0
3.056 0.000 0.000
0.000 4.410 0.000
-1.489 0.000 5.502
Sc Zn Ag
1 1 2
direct
0.000 0.000 0.000 Sc
0.607 0.500 0.219 Zn
0.352 0.500 0.707 Ag
0.733 0.000 0.475 Ag

(7)
Sr2AgIr, optimized geometry, DFT PBE-GGA; energy relative to the elements = 0.04 eV per atom; density = 6215 kg/m3; uncorrected energy = -3.724 eV per atom
1.0
2.207 1.274 7.528
-2.207 1.274 7.528
0.000 -2.548 7.528
Sr Ag Ir
2 1 1
direct
0.236 0.236 0.236 Sr
0.764 0.764 0.764 Sr
0.000 0.000 0.000 Ag
0.500 0.500 0.500 Ir

(8)
Tb4GaSbC, optimized geometry, DFT PBE-GGA; density = 7765 kg/m3; raw formation energy = -0.6197 eV per atom; uncorrected energy = -5.605 eV per atom
1.0
3.390 -7.813 0.000
3.390 7.813 0.000
0.000 0.000 6.777
Tb Ga Sb C
8 2 2 2
direct
0.000 0.500 0.000 Tb
0.000 0.500 0.500 Tb
0.083 0.917 0.750 Tb
0.409 0.591 0.750 Tb
0.500 0.000 0.000 Tb
0.500 0.000 0.500 Tb
0.591 0.409 0.250 Tb
0.917 0.083 0.250 Tb
0.116 0.884 0.250 Ga
0.884 0.116 0.750 Ga
0.391 0.609 0.250 Sb
0.609 0.391 0.750 Sb
0.249 0.751 0.750 C
0.751 0.249 0.250 C

(9)
Hf4SiNi, optimized geometry, DFT PBE-GGA; density = 12000 kg/m3; raw formation energy = -0.5018 eV per atom; uncorrected energy = -9.005 eV per atom
1.0
-3.221 3.221 2.670
3.221 -3.221 2.670
3.221 3.221 -2.670
Hf Si Ni
4 1 1
direct
0.089 0.589 0.178 Hf
0.411 0.911 0.822 Hf
0.589 0.411 0.500 Hf
0.911 0.089 0.500 Hf
0.000 0.000 0.000 Si
0.500 0.500 0.000 Ni

(10)
Er2ThSb, optimized geometry, DFT PBE-GGA; density = 9763 kg/m3; raw formation energy = -0.2849 eV per atom; uncorrected energy = -5.452 eV per atom; distance to the lowest polymorph of the same formula = 190 meV per atom
1.0
1.797 1.038 10.464
-1.797 1.038 10.464
0.000 -2.075 10.464
Er Th Sb
2 1 1
direct
0.244 0.244 0.244 Er
0.756 0.756 0.756 Er
0.000 0.000 0.000 Th
0.500 0.500 0.500 Sb

(11)
Dy2HfSi4Pt3, optimized geometry, DFT PBE-GGA; density = 10931 kg/m3; raw formation energy = -1.0096 eV per atom; uncorrected energy = -6.907 eV per atom
1.0
4.154 0.000 0.000
0.000 4.154 0.000
0.000 0.000 10.571
Dy Hf Si Pt
2 1 4 3
direct
0.000 0.500 0.238 Dy
0.500 0.000 0.762 Dy
0.000 0.000 0.500 Hf
0.000 0.000 0.000 Si
0.000 0.500 0.654 Si
0.500 0.000 0.346 Si
0.500 0.500 0.000 Si
0.000 0.500 0.882 Pt
0.500 0.000 0.118 Pt
0.500 0.500 0.500 Pt

(12)
Tb12Sm2Y5, optimized geometry, DFT PBE-GGA; energy relative to the elements = 0.13 eV per atom; density = 7025 kg/m3; uncorrected energy = -4.996 eV per atom; distance to the lowest polymorph of the same formula = 60 meV per atom
1.0
7.941 -4.599 0.000
7.941 4.599 0.000
-0.196 0.000 8.583
Tb Sm Y
12 2 5
direct
0.058 0.058 0.335 Tb
0.066 0.680 0.339 Tb
0.165 0.527 0.757 Tb
0.320 0.934 0.661 Tb
0.409 0.409 0.116 Tb
0.473 0.835 0.243 Tb
0.527 0.165 0.757 Tb
0.591 0.591 0.884 Tb
0.680 0.066 0.339 Tb
0.835 0.473 0.243 Tb
0.934 0.320 0.661 Tb
0.942 0.942 0.665 Tb
0.179 0.821 0.000 Sm
0.821 0.179 0.000 Sm
0.199 0.199 0.013 Y
0.268 0.268 0.427 Y
0.500 0.500 0.500 Y
0.732 0.732 0.573 Y
0.801 0.801 0.987 Y

(13)
CaScB, optimized geometry, DFT PBE-GGA; energy relative to the elements = -0.13 eV per atom; density = 2371 kg/m3; uncorrected energy = -5.129 eV per atom; distance to the lowest polymorph of the same formula = 109 meV per atom
1.0
6.402 0.000 0.000
0.000 3.210 0.000
-1.143 0.000 6.533
Ca Sc B
2 2 2
direct
0.238 0.250 0.351 Ca
0.762 0.750 0.649 Ca
0.281 0.750 0.870 Sc
0.719 0.250 0.130 Sc
0.032 0.250 0.967 B
0.968 0.750 0.033 B

(14)
Ce2PrFe, optimized geometry, DFT PBE-GGA; energy relative to the elements = 0.08 eV per atom; density = 7263 kg/m3; uncorrected energy = -6.193 eV per atom; distance to the lowest polymorph of the same formula = 0 meV per atom
1.0
1.893 1.093 8.782
-1.893 1.093 8.782
0.000 -2.186 8.782
Ce Pr Fe
2 1 1
direct
0.000 0.000 0.000 Ce
0.221 0.221 0.221 Ce
0.445 0.445 0.445 Pr
0.608 0.608 0.608 Fe

(15)
SrAsSN2, optimized geometry, DFT PBE-GGA; density = 4631 kg/m3; raw formation energy = 0.3137 eV per atom; uncorrected energy = -5.108 eV per atom
1.0
3.990 0.000 0.000
0.000 3.990 0.000
0.000 0.000 5.013
Sr As S N
1 1 1 2
direct
0.000 0.000 0.000 Sr
0.500 0.500 0.500 As
0.500 0.500 0.000 S
0.000 0.500 0.500 N
0.500 0.000 0.500 N

(16)
SrAlPBr2, optimized geometry, DFT PBE-GGA; density = 3860 kg/m3; raw formation energy = -0.7855 eV per atom; uncorrected energy = -3.622 eV per atom
1.0
5.267 0.000 0.000
0.000 5.267 0.000
0.000 0.000 4.736
Sr Al P Br
1 1 1 2
direct
0.000 0.000 0.000 Sr
0.500 0.500 0.500 Al
0.500 0.500 0.000 P
0.000 0.500 0.500 Br
0.500 0.000 0.500 Br

(17)
BaSi5, optimized geometry, DFT PBE-GGA; density = 3806 kg/m3; raw formation energy = 0.3648 eV per atom; uncorrected energy = -4.475 eV per atom
1.0
0.000 3.928 3.928
3.928 0.000 3.928
3.928 3.928 0.000
Ba Si
1 5
direct
0.000 0.000 0.000 Ba
0.385 0.385 0.385 Si
0.385 0.385 0.845 Si
0.385 0.845 0.385 Si
0.750 0.750 0.750 Si
0.845 0.385 0.385 Si

(18)
Rb2NiSn, optimized geometry, DFT PBE-GGA; energy relative to the elements = 0.14 eV per atom; density = 2805 kg/m3; uncorrected energy = -2.789 eV per atom
1.0
-6.517 6.517 2.428
6.517 -6.517 2.428
6.517 6.517 -2.428
Rb Ni Sn
4 2 2
direct
0.375 0.174 0.299 Rb
0.826 0.125 0.201 Rb
0.875 0.076 0.701 Rb
0.924 0.625 0.799 Rb
0.000 0.000 0.000 Ni
0.750 0.250 0.500 Ni
0.250 0.750 0.500 Sn
0.500 0.500 0.000 Sn

(19)
Ti4Nb2Os, optimized geometry, DFT PBE-GGA; energy relative to the elements = -0.14 eV per atom; density = 8028 kg/m3; uncorrected energy = -9.130 eV per atom
1.0
2.876 0.000 0.000
-0.854 6.791 0.000
-0.873 -3.382 6.010
Ti Nb Os
4 2 1
direct
0.128 0.091 0.366 Ti
0.262 0.640 0.230 Ti
0.738 0.360 0.770 Ti
0.872 0.909 0.634 Ti
0.449 0.213 0.067 Nb
0.551 0.787 0.933 Nb
0.000 0.500 0.500 Os

(20)
FeSiHg2, optimized geometry, DFT PBE-GGA; density = 10998 kg/m3; raw formation energy = 0.3368 eV per atom; uncorrected energy = -3.285 eV per atom
1.0
1.963 1.134 5.485
-1.963 1.134 5.485
0.000 -2.267 5.485
Fe Si Hg
1 1 2
direct
0.000 0.000 0.000 Fe
0.348 0.348 0.348 Si
0.566 0.566 0.566 Hg
0.783 0.783 0.783 Hg

D(E_F) for the records above, in order: 5.62 6.06 0.70 3.55 2.96 2.99 2.41 1.56 6.65 3.51 3.87 28.94 1.91 8.16 2.76 1.49 2.39 3.16 10.19 2.09 states/eV/f.u.
Magnetization for the records above, in order: 0.000 0.000 0.000 0.000 0.000 0.001 0.000 0.000 0.000 0.000 0.000 0.000 0.000 0.014 0.833 0.000 0.000 0.000 0.000 0.029 μB per cell